# 1
## ZrPPt (PBE-GGA)

Data for a relaxed structure of ZrPPt.

For the final energy, the calculation gives -7.7365 eV per atom. The value obtained for the calculated volume is 49.0 Å³/f.u. The value obtained for the density of states at the Fermi level is 1.29 states/eV/f.u.

The structure belongs to space group P2_1/m (No. 11); the cell edges are 6.569, 3.973 and 11.265 Å and the angles 90.00°, 91.07° and 90.00°. The asymmetric unit holds Zr at (0.031, 0.250, 0.114), Zr at (0.158, 0.250, 0.419), Zr at (0.453, 0.750, 0.784), P at (0.239, 0.750, 0.251), P at (0.249, 0.750, 0.585), P at (0.255, 0.250, 0.912), Pt at (0.113, 0.250, 0.706), Pt at (0.356, 0.750, 0.050) and Pt at (0.490, 0.750, 0.410).

***

# 2
## Zr2PPt (PBE-GGA)

Data for a relaxed structure of Zr2PPt.

For the final energy, the calculation gives -7.2836 eV per atom. The value obtained for the calculated volume is 72.1 Å³/f.u. The value obtained for the density of states at the Fermi level is 6.25 states/eV/f.u.

The structure belongs to space group F-43m (No. 216); the cell edges are 6.607, 6.607 and 6.607 Å and the angles 90.00°, 90.00° and 90.00°. The asymmetric unit holds Zr at (0.000, 0.000, 0.000), Zr at (0.250, 0.250, 0.250), P at (0.250, 0.250, 0.750) and Pt at (0.000, 0.000, 0.500).

***

# 3
## ZrPPt2 (PBE-GGA)

Data for a relaxed structure of ZrPPt2.

For the final energy, the calculation gives -7.0322 eV per atom. The value obtained for the calculated volume is 81.9 Å³/f.u. The value obtained for the density of states at the Fermi level is 3.56 states/eV/f.u.

The structure belongs to space group I-42d (No. 122); the cell edges are 4.712, 4.712 and 14.747 Å and the angles 90.00°, 90.00° and 90.00°. The asymmetric unit holds Zr at (0.000, 0.000, 0.000), P at (0.000, 0.000, 0.500) and Pt at (0.166, 0.250, 0.625).

***

# 4
## ZrP2Pt (PBE-GGA)

Data for a relaxed structure of ZrP2Pt.

The value obtained for the calculated volume is 66.0 Å³/f.u. The value obtained for the density of states at the Fermi level is 1.90 states/eV/f.u. As for the energy above the most stable polymorph in this dataset: 0.60 eV/f.u.

The structure belongs to space group Imm2 (No. 44); the cell edges are 3.507, 3.551 and 10.595 Å and the angles 90.00°, 90.00° and 90.00°. The asymmetric unit holds Zr at (0.000, 0.000, 0.000), P at (0.000, 0.000, 0.581), P at (0.000, 0.500, 0.815) and Pt at (0.000, 0.500, 0.258).

***

Question: Among the records above, which one has the highest calculated volume?
Answer: ZrPPt2